The following is a DFT calculation (PBE+U) of an optimized crystal structure of SrWIO2.

```
SrWIO2
1.0
4.249 0.000 0.000
0.000 4.249 0.000
0.000 0.000 5.886
O Sr W I
2 1 1 1
Cartesian
0.000 2.124 0.000
2.124 0.000 0.000
2.124 2.124 2.943
0.000 0.000 0.000
0.000 0.000 2.943
```

## Properties
Excess energy over the best structure of this formula in the dataset in meV/atom: 0
N(E_F) in states/eV/f.u.: 0.48